! MgRe PBE relaxed; values from VASP
! - Theoretical density: 10.6 Mg/m³
! - Space-group type: Pmc2_1, No. 26
! - Total energy: -6.669 eV/atom
&SYSTEM
  ibrav = 0, nat = 12, ntyp = 2
/
ATOMIC_SPECIES
Mg 24.30 Mg.upf
Re 186.21 Re.upf
CELL_PARAMETERS angstrom
4.952 0.000 0.000
0.000 8.699 0.000
0.000 0.000 4.582
ATOMIC_POSITIONS angstrom
Mg 4.928 0.093 0.000
Mg 0.085 2.912 0.000
Mg 2.561 4.337 0.000
Mg 2.453 7.157 0.000
Mg 1.637 0.026 2.291
Mg 4.113 7.224 2.291
Re 2.571 1.551 0.000
Re 0.095 5.698 0.000
Re 3.967 1.753 2.291
Re 1.667 2.819 2.291
Re 4.143 4.430 2.291
Re 1.491 5.497 2.291


! RbReO3 PBE relaxed; values from VASP
! - Theoretical density: 8.6 Mg/m³
! - Space-group type: Pm-3m, No. 221
! - Total energy: -7.196 eV/atom
&SYSTEM
  ibrav = 0, nat = 5, ntyp = 3
/
ATOMIC_SPECIES
O 16.00 O.upf
Rb 85.47 Rb.upf
Re 186.21 Re.upf
CELL_PARAMETERS angstrom
-0.663 -3.873 -0.373
2.036 -0.023 -3.381
3.315 -0.760 2.002
ATOMIC_POSITIONS angstrom
O 0.686 -1.948 -1.877
O 1.326 -2.317 0.815
O 2.676 -0.392 -0.689
Rb 0.000 0.000 0.000
Re 2.344 -2.328 -0.876


! Be2Re2O5 PBE relaxed; values from VASP
! - Theoretical density: 8.2 Mg/m³
! - Space-group type: P4/mmm, No. 123
! - Total energy: -6.832 eV/atom
&SYSTEM
  ibrav = 0, nat = 9, ntyp = 3
/
ATOMIC_SPECIES
Be 9.01 Be.upf
O 16.00 O.upf
Re 186.21 Re.upf
CELL_PARAMETERS angstrom
6.555 0.000 0.000
0.000 3.820 0.000
0.000 0.000 3.820
ATOMIC_POSITIONS angstrom
Be 0.000 0.000 0.000
Be 3.277 0.000 0.000
O 1.530 1.910 0.000
O 5.025 1.910 0.000
O 1.530 0.000 1.910
O 5.025 0.000 1.910
O 3.277 1.910 1.910
Re 1.158 1.910 1.910
Re 5.397 1.910 1.910


! NiCl2 PBE relaxed; values from VASP
! - Theoretical density: 1.7 Mg/m³
! - Space-group type: Fd-3m, No. 227
! - Total energy: -3.464 eV/atom
&SYSTEM
  ibrav = 0, nat = 6, ntyp = 2
/
ATOMIC_SPECIES
Cl 35.45 Cl.upf
Ni 58.69 Ni.upf
CELL_PARAMETERS angstrom
3.523 2.034 5.753
-3.523 2.034 5.753
0.000 -4.068 5.753
ATOMIC_POSITIONS angstrom
Cl 0.000 0.000 0.000
Cl 1.761 1.017 2.876
Cl -1.761 1.017 2.876
Cl 0.000 -2.034 2.876
Ni 0.000 0.000 2.157
Ni 0.000 0.000 15.101


! ScCuHgBi PBE relaxed; values from VASP
! - Theoretical density: 9.9 Mg/m³
! - Space-group type: F-43m, No. 216
! - Total energy: -3.651 eV/atom
&SYSTEM
  ibrav = 0, nat = 4, ntyp = 4
/
ATOMIC_SPECIES
Bi 208.98 Bi.upf
Cu 63.55 Cu.upf
Hg 200.59 Hg.upf
Sc 44.96 Sc.upf
CELL_PARAMETERS angstrom
0.000 3.515 3.515
3.515 0.000 3.515
3.515 3.515 0.000
ATOMIC_POSITIONS angstrom
Bi 0.000 0.000 0.000
Cu 1.757 1.757 1.757
Hg 3.515 3.515 3.515
Sc 5.272 5.272 5.272


! Pr3P2N PBE relaxed; values from VASP
! - Theoretical density: 6.0 Mg/m³
! - Space-group type: P-3m1, No. 164
! - Total energy: -6.916 eV/atom
&SYSTEM
  ibrav = 0, nat = 6, ntyp = 3
/
ATOMIC_SPECIES
N 14.01 N.upf
P 30.97 P.upf
Pr 140.91 Pr.upf
CELL_PARAMETERS angstrom
3.997 0.000 0.000
-1.999 3.462 0.000
0.000 0.000 9.990
ATOMIC_POSITIONS angstrom
N 0.000 0.000 4.995
P 1.999 1.154 1.779
P 0.000 2.308 8.211
Pr 0.000 0.000 0.000
Pr 0.000 2.308 3.573
Pr 1.999 1.154 6.417


! Gd5Bi3 PBE relaxed; values from VASP
! - Theoretical density: 9.9 Mg/m³
! - Space-group type: P6_3/mcm, No. 193
! - Total energy: -5.171 eV/atom
&SYSTEM
  ibrav = 0, nat = 16, ntyp = 2
/
ATOMIC_SPECIES
Bi 208.98 Bi.upf
Gd 157.25 Gd.upf
CELL_PARAMETERS angstrom
-4.662 -7.910 -1.072
9.006 0.372 -2.053
1.441 -1.664 6.018
ATOMIC_POSITIONS angstrom
Bi -2.483 -5.241 0.851
Bi 5.853 -0.189 0.252
Bi 2.054 -3.356 0.286
Bi 8.268 -3.961 2.043
Bi -0.069 -9.013 2.641
Bi 3.730 -5.846 2.608
Gd -0.106 -5.149 -1.399
Gd 4.450 -2.389 -1.726
Gd 8.233 -1.966 -0.809
Gd -2.113 -8.236 -0.066
Gd 3.648 -6.122 -0.861
Gd 0.614 -5.982 1.610
Gd 5.170 -3.221 1.283
Gd -2.448 -7.236 3.702
Gd 7.897 -0.966 2.959
Gd 2.136 -3.080 3.754


! FeCoCuB PBE relaxed; values from VASP
! - Theoretical density: 8.1 Mg/m³
! - Space-group type: F-43m, No. 216
! - Total energy: -6.168 eV/atom
&SYSTEM
  ibrav = 0, nat = 4, ntyp = 4
/
ATOMIC_SPECIES
B 10.81 B.upf
Co 58.93 Co.upf
Cu 63.55 Cu.upf
Fe 55.84 Fe.upf
CELL_PARAMETERS angstrom
-0.206 -3.779 -0.315
-2.937 -1.598 -1.800
0.517 -1.655 -3.379
ATOMIC_POSITIONS angstrom
B 0.000 0.000 0.000
Co -0.657 -1.758 -1.373
Cu -1.313 -3.516 -2.747
Fe -1.970 -5.274 -4.120


! MgNiGeOs PBE relaxed; values from VASP
! - Theoretical density: 10.0 Mg/m³
! - Space-group type: F-43m, No. 216
! - Total energy: -5.339 eV/atom
&SYSTEM
  ibrav = 0, nat = 4, ntyp = 4
/
ATOMIC_SPECIES
Ge 72.64 Ge.upf
Mg 24.30 Mg.upf
Ni 58.69 Ni.upf
Os 190.23 Os.upf
CELL_PARAMETERS angstrom
0.000 3.057 3.057
3.057 0.000 3.057
3.057 3.057 0.000
ATOMIC_POSITIONS angstrom
Ge 0.000 0.000 0.000
Mg 1.529 1.529 1.529
Ni 4.586 4.586 4.586
Os 3.057 3.057 3.057


! Zr2Sn PBE relaxed; values from VASP
! - Theoretical density: 7.5 Mg/m³
! - Space-group type: Cmcm, No. 63
! - Total energy: -7.456 eV/atom
&SYSTEM
  ibrav = 0, nat = 12, ntyp = 2
/
ATOMIC_SPECIES
Sn 118.71 Sn.upf
Zr 91.22 Zr.upf
CELL_PARAMETERS angstrom
15.075 0.000 0.000
0.000 3.643 0.000
0.000 0.000 4.857
ATOMIC_POSITIONS angstrom
Sn 4.899 0.000 0.000
Sn 12.435 1.821 0.000
Sn 1.803 0.000 2.429
Sn 9.339 1.821 2.429
Zr 9.825 0.000 0.000
Zr 14.844 0.000 0.000
Zr 2.288 1.821 0.000
Zr 7.306 1.821 0.000
Zr 6.932 0.000 2.429
Zr 11.949 0.000 2.429
Zr 4.413 1.821 2.429
Zr 14.469 1.821 2.429


! NaTcNO PBE relaxed; values from VASP
! - Theoretical density: 4.2 Mg/m³
! - Space-group type: P4/nmm, No. 129
! - Total energy: -6.138 eV/atom
&SYSTEM
  ibrav = 0, nat = 8, ntyp = 4
/
ATOMIC_SPECIES
N 14.01 N.upf
Na 22.99 Na.upf
O 16.00 O.upf
Tc 98.00 Tc.upf
CELL_PARAMETERS angstrom
3.714 0.000 0.000
0.000 3.714 0.000
0.000 0.000 8.683
ATOMIC_POSITIONS angstrom
N 0.000 1.857 3.493
N 1.857 0.000 5.190
Na 1.857 0.000 1.245
Na 0.000 1.857 7.438
O 0.000 0.000 0.000
O 1.857 1.857 0.000
Tc 0.000 0.000 4.341
Tc 1.857 1.857 4.341


! DyHoIn4Fe2 PBE relaxed; values from VASP
! - Theoretical density: 8.7 Mg/m³
! - Space-group type: Amm2, No. 38
! - Total energy: -4.753 eV/atom
&SYSTEM
  ibrav = 0, nat = 8, ntyp = 4
/
ATOMIC_SPECIES
Dy 162.50 Dy.upf
Fe 55.84 Fe.upf
Ho 164.93 Ho.upf
In 114.82 In.upf
CELL_PARAMETERS angstrom
-2.525 2.858 -6.537
-5.376 -0.601 1.814
-3.746 3.220 2.855
ATOMIC_POSITIONS angstrom
Dy -3.941 1.131 2.017
Fe -3.888 2.183 -1.925
Fe -6.497 1.865 3.325
Ho -6.443 2.917 -0.617
In -1.792 0.943 -0.653
In -3.304 2.654 -4.567
In -8.593 3.107 2.050
In -9.603 4.250 -0.565


! SmYNi2B2C2 PBE relaxed; values from VASP
! - Theoretical density: 6.7 Mg/m³
! - Space-group type: P4mm, No. 99
! - Total energy: -7.239 eV/atom
&SYSTEM
  ibrav = 0, nat = 8, ntyp = 5
/
ATOMIC_SPECIES
B 10.81 B.upf
C 12.01 C.upf
Ni 58.69 Ni.upf
Sm 150.36 Sm.upf
Y 88.91 Y.upf
CELL_PARAMETERS angstrom
-2.806 2.085 -0.996
-0.372 -1.954 -3.042
-4.734 -4.665 3.574
ATOMIC_POSITIONS angstrom
B -0.681 -0.671 0.514
B -5.653 -3.939 1.049
C -1.619 -1.596 1.223
C -4.717 -3.017 0.343
Ni -6.130 -3.616 3.071
Ni -4.913 -5.635 2.048
Sm -3.151 -1.474 -0.839
Y -3.160 -3.114 2.386


! KNaGa4Pt2 PBE relaxed; values from VASP
! - Theoretical density: 7.1 Mg/m³
! - Space-group type: Amm2, No. 38
! - Total energy: -3.739 eV/atom
&SYSTEM
  ibrav = 0, nat = 8, ntyp = 4
/
ATOMIC_SPECIES
Ga 69.72 Ga.upf
K 39.10 K.upf
Na 22.99 Na.upf
Pt 195.08 Pt.upf
CELL_PARAMETERS angstrom
7.303 0.000 0.000
0.000 2.142 5.500
0.000 -2.142 5.500
ATOMIC_POSITIONS angstrom
Ga 1.390 0.000 3.660
Ga 5.913 0.000 3.660
Ga 2.194 0.000 7.296
Ga 5.110 0.000 7.296
K 3.652 0.000 10.368
Na 0.000 0.000 0.676
Pt 3.652 0.000 2.378
Pt 0.000 0.000 8.664


! PrTaFe PBE relaxed; values from VASP
! - Theoretical density: 9.0 Mg/m³
! - E_form: 1712 meV/atom
! - Space-group type: F-43m, No. 216
! - Total energy: -6.600 eV/atom
&SYSTEM
  ibrav = 0, nat = 3, ntyp = 3
/
ATOMIC_SPECIES
Fe 55.84 Fe.upf
Pr 140.91 Pr.upf
Ta 180.95 Ta.upf
CELL_PARAMETERS angstrom
-1.964 -4.060 -1.027
-3.073 -1.883 2.901
-4.474 -0.176 -1.164
ATOMIC_POSITIONS angstrom
Fe -2.378 -1.530 0.177
Pr 0.000 0.000 0.000
Ta -7.133 -4.589 0.532


! LuSiHO4 PBE relaxed; values from VASP
! - Theoretical density: 6.0 Mg/m³
! - Space-group type: Pbca, No. 61
! - Total energy: -7.441 eV/atom
&SYSTEM
  ibrav = 0, nat = 112, ntyp = 4
/
ATOMIC_SPECIES
H 1.01 H.upf
Lu 174.97 Lu.upf
O 16.00 O.upf
Si 28.09 Si.upf
CELL_PARAMETERS angstrom
-2.421 -2.615 6.799
5.762 -6.579 -0.479
12.004 9.924 8.091
ATOMIC_POSITIONS angstrom
H -1.319 -3.123 6.447
H 2.466 -5.436 3.670
H 2.988 -2.429 6.754
H 5.939 -5.643 6.319
H 5.025 -0.439 3.912
H 7.975 -3.653 3.476
H 5.477 2.803 6.812
H 9.261 0.489 4.035
H 6.083 0.240 10.376
H 9.868 -2.073 7.599
H 7.370 4.382 10.934
H 10.320 1.168 10.499
H 9.406 6.373 8.092
H 12.357 3.159 7.656
H 12.879 6.166 10.741
H 16.664 3.852 7.964
Lu 0.761 -1.620 5.374
Lu 3.210 -5.376 6.349
Lu 3.302 -1.157 1.465
Lu 5.384 -5.311 3.472
Lu 4.976 -0.081 6.808
Lu 7.057 -4.235 8.815
Lu 5.125 2.295 4.101
Lu 7.574 -1.461 5.075
Lu 7.771 2.191 9.336
Lu 10.219 -1.565 10.310
Lu 8.288 4.965 5.595
Lu 10.369 0.811 7.602
Lu 9.961 6.041 10.938
Lu 12.042 1.887 12.945
Lu 12.135 6.106 8.062
Lu 14.584 2.350 9.037
O -1.256 -2.622 5.479
O 1.868 -5.650 4.558
O 1.214 -1.126 0.819
O 3.342 -5.228 2.692
O 0.261 -0.861 3.361
O 3.942 -3.285 0.874
O 1.108 -3.761 6.017
O 4.307 -6.707 4.884
O 3.196 -1.976 3.425
O 6.569 -4.734 1.804
O 0.578 -1.585 7.610
O 4.305 -3.961 4.995
O 3.122 -3.625 7.733
O 6.850 -6.000 5.115
O 2.994 -1.752 5.986
O 5.369 -5.589 7.168
O 4.986 0.201 3.113
O 7.361 -3.635 4.296
O 5.341 -1.484 5.013
O 9.069 -3.858 2.395
O 3.677 1.284 5.484
O 7.404 -1.092 2.868
O 4.366 -1.316 8.429
O 7.738 -4.074 6.808
O 6.399 0.920 5.368
O 9.598 -2.026 4.235
O 3.354 1.390 9.662
O 7.036 -1.035 7.174
O 5.224 1.883 7.738
O 7.353 -2.219 9.611
O 5.705 3.439 5.955
O 8.828 0.412 5.034
O 6.517 0.318 9.377
O 9.640 -2.709 8.456
O 7.992 2.949 4.800
O 10.121 -1.153 6.673
O 8.309 1.765 7.237
O 11.991 -0.660 4.749
O 5.747 2.756 10.175
O 8.946 -0.190 9.043
O 7.606 4.804 7.603
O 10.979 2.046 5.982
O 7.941 1.822 11.542
O 11.668 -0.554 8.927
O 6.276 4.588 12.015
O 10.004 2.214 9.397
O 7.984 4.365 10.115
O 10.359 0.529 11.298
O 9.976 6.319 7.242
O 12.350 2.482 8.425
O 8.495 6.730 9.296
O 12.223 4.355 6.678
O 11.040 4.691 9.416
O 14.767 2.315 6.800
O 8.776 5.464 12.606
O 12.148 2.705 10.986
O 11.038 7.437 9.527
O 14.237 4.491 8.394
O 11.403 4.015 13.537
O 15.084 1.591 11.049
O 12.002 5.958 11.719
O 14.131 1.856 13.591
O 13.477 6.379 9.853
O 16.600 3.352 8.932
Si -0.081 -1.148 1.796
Si 2.856 -4.377 1.400
Si 3.988 -2.386 4.754
Si 8.034 -4.417 1.243
Si 3.897 -2.769 8.907
Si 7.942 -4.800 5.396
Si 4.541 2.367 9.127
Si 7.478 -0.862 8.731
Si 7.867 1.592 5.680
Si 10.804 -1.637 5.284
Si 7.402 5.530 9.014
Si 11.448 3.499 5.503
Si 7.311 5.147 13.168
Si 11.357 3.116 9.657
Si 12.489 5.107 13.011
Si 15.426 1.877 12.615


! HfP2 PBE relaxed; values from VASP
! - Theoretical density: 6.7 Mg/m³
! - Space-group type: Fm-3m, No. 225
! - Total energy: -7.210 eV/atom
&SYSTEM
  ibrav = 0, nat = 3, ntyp = 2
/
ATOMIC_SPECIES
Hf 178.49 Hf.upf
P 30.97 P.upf
CELL_PARAMETERS angstrom
2.310 -3.553 1.139
-1.651 -4.006 -0.695
1.730 -2.579 -3.101
ATOMIC_POSITIONS angstrom
Hf 0.000 0.000 0.000
P 0.597 -2.535 -0.664
P 1.792 -7.604 -1.992


! HfBeAg PBE relaxed; values from VASP
! - Theoretical density: 9.6 Mg/m³
! - Space-group type: F-43m, No. 216
! - Total energy: -5.202 eV/atom
&SYSTEM
  ibrav = 0, nat = 3, ntyp = 3
/
ATOMIC_SPECIES
Ag 107.87 Ag.upf
Be 9.01 Be.upf
Hf 178.49 Hf.upf
CELL_PARAMETERS angstrom
1.890 3.410 1.470
-1.415 1.838 3.462
2.218 -0.202 3.522
ATOMIC_POSITIONS angstrom
Ag 0.673 1.262 2.113
Be 0.000 0.000 0.000
Hf 2.020 3.785 6.340


! BaHoZr PBE relaxed; values from VASP
! - Theoretical density: 5.4 Mg/m³
! - Space-group type: F-43m, No. 216
! - Total energy: -3.991 eV/atom
&SYSTEM
  ibrav = 0, nat = 3, ntyp = 3
/
ATOMIC_SPECIES
Ba 137.33 Ba.upf
Ho 164.93 Ho.upf
Zr 91.22 Zr.upf
CELL_PARAMETERS angstrom
5.447 -0.509 0.920
3.143 4.529 0.622
2.102 1.256 4.979
ATOMIC_POSITIONS angstrom
Ba 2.673 1.319 1.630
Ho 8.019 3.957 4.890
Zr 0.000 0.000 0.000


! HoTmSnB PBE relaxed; values from VASP
! - Theoretical density: 8.3 Mg/m³
! - Space-group type: P-3m1, No. 164
! - Total energy: -5.199 eV/atom
&SYSTEM
  ibrav = 0, nat = 8, ntyp = 4
/
ATOMIC_SPECIES
B 10.81 B.upf
Ho 164.93 Ho.upf
Sn 118.71 Sn.upf
Tm 168.93 Tm.upf
CELL_PARAMETERS angstrom
-1.060 3.431 -0.437
-2.324 -2.703 -0.616
-4.751 0.523 15.627
ATOMIC_POSITIONS angstrom
B 0.000 0.000 0.000
B -2.376 0.261 7.814
Ho -2.348 -0.609 0.909
Ho -5.787 1.860 13.666
Sn -2.678 1.518 3.441
Sn -5.457 -0.267 11.134
Tm -3.844 -0.445 5.830
Tm -4.291 1.695 8.744


! ThAgPt4 PBE relaxed; values from VASP
! - Theoretical density: 16.6 Mg/m³
! - E_form: -839 meV/atom
! - Space-group type: F-43m, No. 216
! - Total energy: -6.582 eV/atom
&SYSTEM
  ibrav = 0, nat = 6, ntyp = 3
/
ATOMIC_SPECIES
Ag 107.87 Ag.upf
Pt 195.08 Pt.upf
Th 232.04 Th.upf
CELL_PARAMETERS angstrom
0.000 3.828 3.828
3.828 0.000 3.828
3.828 3.828 0.000
ATOMIC_POSITIONS angstrom
Ag 0.000 0.000 0.000
Pt 2.866 2.866 2.866
Pt 2.866 4.791 4.791
Pt 4.791 2.866 4.791
Pt 4.791 4.791 2.866
Th 5.743 5.743 5.743